[1]
! BaNpSi GGA-PBE relaxed; values from VASP
! - Calculated total energy: -0.4171 Ry per atom
&SYSTEM
  ibrav = 0, nat = 3, ntyp = 3
/
ATOMIC_SPECIES
Ba 137.33 Ba.upf
Np 237.00 Np.upf
Si 28.09 Si.upf
CELL_PARAMETERS angstrom
-4.202 -1.158 2.672
-4.323 -1.226 -2.438
-1.717 -4.814 0.104
ATOMIC_POSITIONS crystal
Ba 0.000 0.000 0.000
Np 0.250 0.250 0.250
Si 0.750 0.750 0.750

[2]
! BaNpSi GGA-PBE relaxed; values from VASP
! - Calculated total energy: -0.4622 Ry per atom
&SYSTEM
  ibrav = 0, nat = 3, ntyp = 3
/
ATOMIC_SPECIES
Ba 137.33 Ba.upf
Np 237.00 Np.upf
Si 28.09 Si.upf
CELL_PARAMETERS angstrom
1.374 -2.592 4.311
-2.038 1.340 4.609
-3.426 -3.151 2.351
ATOMIC_POSITIONS crystal
Ba 0.250 0.250 0.250
Np 0.750 0.750 0.750
Si 0.000 0.000 0.000

[3]
! BaSmNp GGA-PBE relaxed; values from VASP
! - Calculated total energy: -0.3777 Ry per atom
&SYSTEM
  ibrav = 0, nat = 3, ntyp = 3
/
ATOMIC_SPECIES
Ba 137.33 Ba.upf
Np 237.00 Np.upf
Sm 150.36 Sm.upf
CELL_PARAMETERS angstrom
-0.141 -5.552 -1.254
-4.995 -2.704 -0.392
-1.913 -1.724 -5.077
ATOMIC_POSITIONS crystal
Ba 0.250 0.250 0.250
Np 0.750 0.750 0.750
Sm 0.000 0.000 0.000

[4]
! BaSrNp GGA-PBE relaxed; values from VASP
! - Calculated total energy: -0.3014 Ry per atom
&SYSTEM
  ibrav = 0, nat = 3, ntyp = 3
/
ATOMIC_SPECIES
Ba 137.33 Ba.upf
Np 237.00 Np.upf
Sr 87.62 Sr.upf
CELL_PARAMETERS angstrom
0.098 -5.665 -1.881
1.617 -4.360 3.743
-4.072 -3.880 2.000
ATOMIC_POSITIONS crystal
Ba 0.000 0.000 0.000
Np 0.250 0.250 0.250
Sr 0.750 0.750 0.750

[5]
! BaNpTa GGA-PBE relaxed; values from VASP
! - Polymorph energy (0 for the lowest one): 5.44 kcal/mol of atoms
&SYSTEM
  ibrav = 0, nat = 3, ntyp = 3
/
ATOMIC_SPECIES
Ba 137.33 Ba.upf
Np 237.00 Np.upf
Ta 180.95 Ta.upf
CELL_PARAMETERS angstrom
2.287 -4.317 -1.066
-1.738 -2.909 -3.677
2.591 -0.474 -4.250
ATOMIC_POSITIONS crystal
Ba 0.000 0.000 0.000
Np 0.250 0.250 0.250
Ta 0.750 0.750 0.750

[6]
! BaNpTa GGA-PBE relaxed; values from VASP
! - Polymorph energy (0 for the lowest one): 0.00 kcal/mol of atoms
&SYSTEM
  ibrav = 0, nat = 3, ntyp = 3
/
ATOMIC_SPECIES
Ba 137.33 Ba.upf
Np 237.00 Np.upf
Ta 180.95 Ta.upf
CELL_PARAMETERS angstrom
-4.000 -0.702 3.111
-4.450 2.322 -0.991
-4.020 -2.742 -1.581
ATOMIC_POSITIONS crystal
Ba 0.000 0.000 0.000
Np 0.750 0.750 0.750
Ta 0.500 0.500 0.500